(1)
Below is crystalline TaIr2Br at its relaxed geometry, with properties calculated at the PBE-GGA level.

Geometry as POSCAR:
```
TaIr2Br
1.0
4.573 0.000 0.000
0.000 2.890 -0.022
0.000 0.050 5.164
Ir Ta Br
2 1 1
Cartesian
2.286 0.016 1.519
0.000 0.060 5.054
0.000 1.460 2.316
2.286 2.923 3.990
```

Raw total energy = -7.418 eV per atom
M_tot = 0.0 Bohr magnetons per cell
Raw formation energy = 0.394 eV/atom
Volume = 68.26 Å³ per cell

(2)
Below is crystalline Pr2YTm6 at its relaxed geometry, with properties calculated at the PBE-GGA level.

Geometry as POSCAR:
```
Pr2YTm6
1.0
-0.088 1.381 -5.297
-5.398 0.858 0.314
3.578 20.564 5.302
Tm Pr Y
12 4 2
Cartesian
0.788 11.573 -1.681
-0.768 19.147 3.436
-1.140 3.656 -3.117
-3.686 1.505 -3.348
0.989 13.201 2.166
-3.504 3.423 -0.619
-2.897 9.603 -1.847
1.596 19.380 0.938
-2.696 11.230 2.000
0.147 8.361 0.918
-1.800 0.735 -1.635
-2.055 14.443 -0.599
-0.106 16.276 1.416
0.848 4.874 1.257
-1.802 6.528 -1.097
2.730 15.690 4.046
0.000 0.000 0.000
-0.954 11.402 0.160
```

Raw total energy = -4.049 eV per atom
M_tot = 0.0 Bohr magnetons per cell
Volume = 645.49 Å³ per cell
Energy of formation = 0.7122 eV per atom

(3)
Below is crystalline Pu2BeB2Ru5 at its relaxed geometry, with properties calculated at the PBE-GGA level.

Geometry as POSCAR:
```
Pu2BeB2Ru5
1.0
3.078 0.000 0.000
0.000 9.422 0.000
0.000 0.000 9.422
B Ru Be Pu
4 10 2 4
Cartesian
0.000 8.232 3.521
0.000 3.521 1.190
0.000 5.901 8.232
0.000 1.190 5.901
1.539 4.058 2.733
1.539 2.733 5.364
1.539 1.978 0.653
1.539 0.000 4.711
1.539 5.364 6.689
1.539 0.653 7.444
1.539 7.444 8.769
1.539 6.689 4.058
1.539 8.769 1.978
1.539 4.711 0.000
0.000 0.000 0.000
0.000 4.711 4.711
0.000 6.368 1.657
0.000 1.657 3.054
0.000 3.054 7.765
0.000 7.765 6.368
```

Raw total energy = -9.503 eV per atom
M_tot = 14.5 Bohr magnetons per cell
Volume = 273.25 Å³ per cell
Energy of formation = -0.2910 eV per atom